Computed, not measured: a geometry-optimized BeIn2I structure at the PBE level of DFT.

```
BeIn2I
1.0
0.000 3.869 3.869
3.869 0.000 3.869
3.869 3.869 0.000
Be In I
1 2 1
Cartesian
0.000 0.000 0.000
1.935 1.935 1.935
5.804 5.804 5.804
3.869 3.869 3.869
```

SG: Fm-3m, No. 225
Total magnetic moment: 0.00 μB per cell
Formation energy (no corrections): 0.62 eV per atom
Distance to the lowest polymorph of the same formula: 379 meV/atom



Computed, not measured: a geometry-optimized SrNb2S6 structure at the PBE level of DFT.

```
SrNb2S6
1.0
6.032 -2.342 0.000
6.032 2.342 0.000
-3.777 0.000 8.376
Sr Nb S
1 2 6
Cartesian
0.000 0.000 0.000
-0.215 0.000 5.247
8.503 0.000 3.129
-2.462 0.000 5.695
1.990 0.000 3.777
0.634 0.000 7.362
7.654 0.000 1.013
6.299 0.000 4.599
10.750 0.000 2.681
```

SG: C2/m, No. 12
Total magnetic moment: 0.00 μB per cell
Formation energy (no corrections): -1.04 eV per atom



Computed, not measured: a geometry-optimized CaLaN structure at the PBE level of DFT.

```
CaLaN
1.0
3.648 0.000 0.000
-1.824 3.159 0.000
0.000 0.000 6.466
Ca La N
1 1 1
Cartesian
0.000 0.000 0.000
0.000 2.106 2.780
1.824 1.053 1.499
```

SG: P3m1, No. 156
Total magnetic moment: 0.22 μB per cell
Formation energy (no corrections): -0.80 eV per atom
Distance to the lowest polymorph of the same formula: 49 meV/atom



Computed, not measured: a geometry-optimized TiHSe2N structure at the PBE level of DFT.

```
TiHSe2N
1.0
4.897 0.000 0.000
0.000 4.897 0.000
0.000 0.000 2.695
Ti H Se N
1 1 2 1
Cartesian
0.000 0.000 0.000
2.448 2.448 1.347
0.000 2.448 1.347
2.448 0.000 1.347
2.448 2.448 0.000
```

SG: P4/mmm, No. 123
Total magnetic moment: 0.02 μB per cell
Distance to the lowest polymorph of the same formula: 116 meV/atom